Density functional theory data (GGA-PBE) for Ca2BTeRu after structural relaxation.

Structure (POSCAR):
```
Ca2BTeRu
1.0
5.2492 0.0000 0.0000
0.0000 5.2492 0.0000
0.0000 0.0000 4.0240
Ca B Te Ru
2 1 1 1
direct
0.0000 0.5000 0.0000
0.5000 0.0000 0.0000
0.0000 0.0000 0.0000
0.5000 0.5000 0.5000
0.0000 0.0000 0.5000
```

Computed properties:
- ΔE_f (raw): -0.3489 eV per atom
- Symmetry: No. 123
- E_tot: -4.969 eV per atom
- Fermi-level density of states: 0.4810 states/eV/atom